First-principles (PBE+U) data for a relaxed structure of CrSnMoO6, as listed in Alexandria.

```
CrSnMoO6
1.0
4.6969 0.0000 0.0000
0.0000 4.6969 0.0000
0.0000 0.0000 9.4979
O Cr Mo Sn
12 2 2 2
Cartesian
3.7498 0.9471 4.7833 O
3.8139 0.8831 7.9224 O
1.4249 1.4249 6.2881 O
3.2721 3.2721 6.2881 O
0.9471 3.7498 4.7833 O
0.8831 3.8139 7.9224 O
3.7734 0.9236 1.5391 O
3.2956 3.2956 0.0344 O
1.4654 1.4654 3.1734 O
3.2315 3.2315 3.1734 O
1.4013 1.4013 0.0344 O
0.9236 3.7734 1.5391 O
0.0000 0.0000 6.3331 Cr
2.3485 2.3485 1.5842 Cr
2.3485 2.3485 4.7510 Mo
0.0000 0.0000 0.0021 Mo
2.3485 2.3485 7.9155 Sn
0.0000 0.0000 3.1666 Sn
```

Properties
Space group   P4_2nm, No. 102
Total DFT energy (no corrections)   -7.11 eV per atom